1.
The following is a SCAN calculation of a crystal of CdTc3 relaxed with PBEsol, from the Alexandria database.

Unit cell a=2.7554 b=2.7554 c=9.3170 alpha=81.50 beta=81.50 gamma=60.00
Closest atoms and distances in Å follow each position.
Atoms (fractional coordinates):
Tc 0.2433 0.2433 0.2701  9 Tc 2.64-2.76, 3 Cd 2.95
Tc 0.5000 0.5000 0.5000  12 Tc 2.64-2.76
Cd 0.0000 0.0000 0.0000  6 Cd 2.76, 6 Tc 2.95
Tc 0.7567 0.7567 0.7299  9 Tc 2.64-2.76, 3 Cd 2.95

Results
As for the energy above the most stable polymorph in this dataset: 0 meV/atom. For the total moment, the calculation gives 0.000 μB/atom. As for the calculated total energy: -33.7032 eV per atom. The formation energy is 0.20 eV per atom.


2.
The following is a SCAN calculation of a crystal of BeCuIO2 relaxed with PBEsol, from the Alexandria database.

Unit cell a=3.4854 b=3.4854 c=6.0973 alpha=90.00 beta=90.00 gamma=90.00
Closest atoms and distances in Å follow each position.
Atoms (fractional coordinates):
I 0.0000 0.0000 0.5000  4 Cu 2.46
O 0.0000 0.5000 0.0000  2 Be 1.74
O 0.5000 0.0000 0.0000  2 Be 1.74
Cu 0.5000 0.5000 0.5000  4 I 2.46
Be 0.0000 0.0000 0.0000  4 O 1.74

Results
For the total moment, the calculation gives 0.330 μB/atom. As for the calculated total energy: -14.1160 eV per atom. Its formation energy from raw total energies is -365 meV per atom.


3.
The following is a SCAN calculation of a crystal of IrOs3 relaxed with PBEsol, from the Alexandria database.

Unit cell a=2.7298 b=2.7298 c=8.6471 alpha=90.00 beta=90.00 gamma=120.00
Closest atoms and distances in Å follow each position.
Atoms (fractional coordinates):
Os 0.6667 0.3333 0.7463  9 Os 2.65-2.73, 3 Ir 2.70
Ir 0.0000 0.0000 0.0000  6 Os 2.70, 6 Ir 2.73
Os 0.0000 0.0000 0.5000  12 Os 2.65-2.73
Os 0.6667 0.3333 0.2537  9 Os 2.65-2.73, 3 Ir 2.70

Results
For the total moment, the calculation gives 0.000 μB/atom. As for the calculated total energy: -71.6831 eV per atom. The formation energy is 0.00 eV per atom.


4.
The following is a SCAN calculation of a crystal of TeOsRu2 relaxed with PBEsol, from the Alexandria database.

Unit cell a=2.8293 b=2.8293 c=9.2037 alpha=90.00 beta=90.00 gamma=119.53
Closest atoms and distances in Å follow each position.
Atoms (fractional coordinates):
Os 0.5000 0.5000 0.0000  4 Ru 2.58, 6 Os 2.83-2.85
Te 0.5000 0.5000 0.5000  6 Te 2.83-2.85, 4 Ru 2.83
Ru 0.0000 0.0000 0.2343  2 Os 2.58, 6 Ru 2.83-2.85, 2 Te 2.83
Ru 0.0000 0.0000 0.7657  2 Os 2.58, 6 Ru 2.83-2.85, 2 Te 2.83

Results
For the total moment, the calculation gives 0.475 μB/atom. As for the calculated total energy: -43.7438 eV per atom. Its formation energy from raw total energies is 952 meV per atom.


5.
The following is a SCAN calculation of a crystal of Y2ReRu relaxed with PBEsol, from the Alexandria database.

Unit cell a=3.0581 b=3.0581 c=8.8439 alpha=90.00 beta=90.00 gamma=90.00
Closest atoms and distances in Å follow each position.
Atoms (fractional coordinates):
Re 0.0000 0.0000 0.5446  4 Ru 2.60
Y 0.5000 0.5000 0.3072  4 Re 3.01, 4 Y 3.06
Y 0.0000 0.0000 0.9413  4 Ru 3.00, 4 Y 3.06
Ru 0.5000 0.5000 0.7069  4 Re 2.60

Results
As for the energy above the most stable polymorph in this dataset: 154 meV/atom. For the total moment, the calculation gives 0.005 μB/atom. As for the calculated total energy: -40.3919 eV per atom. The formation energy is 0.01 eV per atom.


6.
The following is a SCAN calculation of a crystal of Tl2PIrRh relaxed with PBEsol, from the Alexandria database.

Unit cell a=4.7027 b=5.0434 c=5.0434 alpha=90.00 beta=90.00 gamma=90.00
Closest atoms and distances in Å follow each position.
Atoms (fractional coordinates):
P 0.5000 0.5000 0.5000  8 Tl 3.45, 4 Ir 3.57
Ir 0.5000 0.0000 0.0000  2 Rh 2.35
Rh 0.0000 0.0000 0.0000  2 Ir 2.35, 4 Tl 2.52
Tl 0.0000 0.5000 0.0000  2 Rh 2.52
Tl 0.0000 0.0000 0.5000  2 Rh 2.52

Results
For the total moment, the calculation gives 0.000 μB/atom. As for the calculated total energy: -50.8704 eV per atom. The formation energy is 1.13 eV per atom.


7.
The following is a SCAN calculation of a crystal of MnTl2RuO relaxed with PBEsol, from the Alexandria database.

Unit cell a=3.6229 b=4.9042 c=4.9042 alpha=90.00 beta=90.00 gamma=90.00
Closest atoms and distances in Å follow each position.
Atoms (fractional coordinates):
Mn 0.5000 0.0000 0.0000  2 O 1.81
O 0.0000 0.0000 0.0000  2 Mn 1.81
Tl 0.0000 0.5000 0.0000  2 O 2.45
Tl 0.0000 0.0000 0.5000  2 O 2.45
Ru 0.5000 0.5000 0.5000  8 Tl 3.05

Results
For the total moment, the calculation gives 1.081 μB/atom. As for the calculated total energy: -40.8024 eV per atom. Its formation energy from raw total energies is 3 meV per atom.


8.
The following is a SCAN calculation of a crystal of MgRhSe2 relaxed with PBEsol, from the Alexandria database.

Unit cell a=3.7881 b=3.7881 c=6.3180 alpha=72.56 beta=72.56 gamma=60.00
Closest atoms and distances in Å follow each position.
Atoms (fractional coordinates):
Se 0.7608 0.7608 0.7175  3 Rh 2.54, 3 Mg 2.75
Mg 0.0000 0.0000 0.0000  6 Se 2.75
Se 0.2392 0.2392 0.2825  3 Rh 2.54, 3 Mg 2.75
Rh 0.5000 0.5000 0.5000  6 Se 2.54

Results
For the total moment, the calculation gives 0.000 μB/atom. As for the calculated total energy: -20.3920 eV per atom. Its formation energy from raw total energies is -667 meV per atom.


9.
The following is a SCAN calculation of a crystal of Tl2CuPtAu relaxed with PBEsol, from the Alexandria database.

Unit cell a=4.7127 b=4.8619 c=4.8619 alpha=90.00 beta=90.00 gamma=90.00
Closest atoms and distances in Å follow each position.
Atoms (fractional coordinates):
Tl 0.0000 0.5000 0.0000  2 Cu 2.43
Tl 0.0000 0.0000 0.5000  2 Cu 2.43
Pt 0.5000 0.5000 0.5000  8 Tl 3.39, 4 Au 3.44
Au 0.5000 0.0000 0.0000  2 Cu 2.36
Cu 0.0000 0.0000 0.0000  2 Au 2.36, 4 Tl 2.43

Results
For the total moment, the calculation gives 0.000 μB/atom. As for the calculated total energy: -59.1694 eV per atom. The formation energy is 0.68 eV per atom.


10.
The following is a SCAN calculation of a crystal of Ti2Be2Tl relaxed with PBEsol, from the Alexandria database.

Unit cell a=3.6883 b=6.1647 c=6.1647 alpha=90.00 beta=90.00 gamma=90.00
Closest atoms and distances in Å follow each position.
Atoms (fractional coordinates):
Ti 0.5000 0.1621 0.6621  6 Be 2.55-2.65, 1 Ti 2.83
Ti 0.5000 0.6621 0.8379  6 Be 2.55-2.65, 1 Ti 2.83
Ti 0.5000 0.3379 0.1621  6 Be 2.55-2.65, 1 Ti 2.83
Ti 0.5000 0.8379 0.3379  6 Be 2.55-2.65, 1 Ti 2.83
Be 0.0000 0.6201 0.1201  1 Be 2.09
Tl 0.0000 0.5000 0.5000  4 Be 2.46
Tl 0.0000 0.0000 0.0000  4 Be 2.46
Be 0.0000 0.3799 0.8799  1 Be 2.09
Be 0.0000 0.1201 0.3799  1 Be 2.09
Be 0.0000 0.8799 0.6201  1 Be 2.09

Results
For the total moment, the calculation gives 0.000 μB/atom. As for the calculated total energy: -22.8011 eV per atom. The formation energy is -0.18 eV per atom.


11.
The following is a SCAN calculation of a crystal of Mg2CrRe relaxed with PBEsol, from the Alexandria database.

Unit cell a=3.1553 b=4.6553 c=5.1940 alpha=116.62 beta=107.68 gamma=90.00
Closest atoms and distances in Å follow each position.
Atoms (fractional coordinates):
Re 0.5330 0.5330 0.0661  2 Cr 2.28
Mg 0.7606 0.2606 0.5212  4 Cr 2.83, 4 Re 2.85-3.06, 6 Mg 2.87-3.16
Mg 0.9855 0.9855 0.9710  4 Cr 2.80-3.11, 4 Re 2.84, 4 Mg 2.87-3.05
Cr 0.2208 0.7208 0.4417  2 Re 2.28

Results
As for the energy above the most stable polymorph in this dataset: 0 meV/atom. For the total moment, the calculation gives 0.002 μB/atom. As for the calculated total energy: -24.5374 eV per atom. The formation energy is 0.32 eV per atom.


12.
The following is a SCAN calculation of a crystal of In2AgIr relaxed with PBEsol, from the Alexandria database.

Unit cell a=3.9756 b=3.9738 c=5.2580 alpha=112.20 beta=112.21 gamma=90.00
Closest atoms and distances in Å follow each position.
Atoms (fractional coordinates):
In 0.2501 0.7501 0.5001  4 Ag 2.81, 4 Ir 2.98, 4 In 2.98
Ag 0.7500 0.2500 0.4999  8 In 2.81-2.98, 4 Ir 2.98
Ir 0.5000 0.5000 0.0000  8 In 2.81-2.98, 4 Ag 2.98
In 0.0000 0.0000 0.0000  4 Ir 2.81, 4 In 2.98, 4 Ag 2.98

Results
For the total moment, the calculation gives 0.000 μB/atom. As for the calculated total energy: -42.2853 eV per atom. The formation energy is 0.02 eV per atom.


13.
The following is a SCAN calculation of a crystal of Al2Cr relaxed with PBEsol, from the Alexandria database.

Unit cell a=3.0975 b=4.9142 c=5.9154 alpha=106.46 beta=90.01 gamma=108.35
Closest atoms and distances in Å follow each position.
Atoms (fractional coordinates):
Al 0.6667 0.3333 0.0891  2 Cr 2.54, 6 Al 2.63-2.75
Al 0.3333 0.6667 0.9109  2 Cr 2.54, 6 Al 2.63-2.75
Al 0.0003 0.0006 0.2806  5 Cr 2.60-2.81, 5 Al 2.60-2.75
Cr 0.3153 0.6306 0.4157  2 Cr 2.37, 6 Al 2.54-2.62
Cr 0.6847 0.3694 0.5843  2 Cr 2.37, 6 Al 2.54-2.62
Al 0.9997 0.9994 0.7194  5 Cr 2.60-2.81, 5 Al 2.60-2.75

Results
For the total moment, the calculation gives 0.163 μB/atom. As for the calculated total energy: -11.3608 eV per atom. The formation energy is -0.06 eV per atom.